Record 1
An optimized crystal structure of TbB3Rh6. Source: the Alexandria database, functional PBE-GGA.

Geometry as CIF:
```
data_TbB3Rh6
_space_group_name_H-M_alt 'R 3'
_space_group_IT_number 146
_space_group_name_Hall 'R 3'
_cell_length_a 5.4544
_cell_length_b 5.4544
_cell_length_c 15.5924
_cell_angle_alpha 90.00
_cell_angle_beta 90.00
_cell_angle_gamma 120.00
loop_
_atom_site_label
_atom_site_fract_x
_atom_site_fract_y
_atom_site_fract_z
Tb1 0.0000 0.0000 0.0000
B1 0.0000 0.0000 0.1729
B2 0.0000 0.0000 0.3714
B3 0.0000 0.0000 0.7053
Rh1 0.0000 0.5075 0.9417
Rh2 0.0016 0.4191 0.1247
```

**Energy of formation from the pure elements**: -41.9 kJ/mol of atoms



Record 2
An optimized crystal structure of SmGe2Pt5Au. Source: the Alexandria database, functional PBE-GGA.

Geometry as CIF:
```
data_SmGe2Pt5Au
_space_group_name_H-M_alt 'P 4/m m m'
_space_group_IT_number 123
_space_group_name_Hall '-P 4 2'
_cell_length_a 4.176
_cell_length_b 4.176
_cell_length_c 9.334
_cell_angle_alpha 90.00
_cell_angle_beta 90.00
_cell_angle_gamma 90.00
loop_
_atom_site_label
_atom_site_fract_x
_atom_site_fract_y
_atom_site_fract_z
Sm1 0.000 0.000 0.000
Ge1 0.500 0.500 0.371
Pt1 0.000 0.500 0.229
Pt2 0.500 0.500 0.000
Au1 0.000 0.000 0.500
```

**Energy of formation from the pure elements**: -50.4 kJ/mol of atoms



Record 3
An optimized crystal structure of RbHfSc. Source: the Alexandria database, functional PBE-GGA.

Geometry as CIF:
```
data_RbHfSc
_space_group_name_H-M_alt 'P 1'
_space_group_IT_number 1
_cell_length_a 4.372
_cell_length_b 4.382
_cell_length_c 13.288
_cell_angle_alpha 89.84
_cell_angle_beta 80.55
_cell_angle_gamma 89.97
loop_
_space_group_symop_operation_xyz
'x,y,z'
loop_
_atom_site_label
_atom_site_fract_x
_atom_site_fract_y
_atom_site_fract_z
Rb1 0.000 0.000 0.000
Rb2 0.353 0.496 0.310
Hf1 0.216 0.005 0.583
Hf2 0.643 0.003 0.729
Sc1 0.136 0.503 0.743
Sc2 0.723 0.505 0.568
```

**Distance to the lowest polymorph of the same formula**: 0.01 eV/f.u.
**Energy of formation from the pure elements**: 36.2 kJ/mol of atoms



Record 4
An optimized crystal structure of AlZnSe. Source: the Alexandria database, functional PBE-GGA.

Geometry as CIF:
```
data_AlZnSe
_space_group_name_H-M_alt 'P -3 m 1'
_space_group_IT_number 164
_space_group_name_Hall '-P 3 2"'
_cell_length_a 3.6545
_cell_length_b 3.6545
_cell_length_c 22.4251
_cell_angle_alpha 90.00
_cell_angle_beta 90.00
_cell_angle_gamma 120.00
loop_
_atom_site_label
_atom_site_fract_x
_atom_site_fract_y
_atom_site_fract_z
Al1 0.3333 0.6667 0.1137
Al2 0.3333 0.6667 0.6505
Zn1 0.3333 0.6667 0.8080
Zn2 0.3333 0.6667 0.9635
Se1 0.3333 0.6667 0.2607
Se2 0.3333 0.6667 0.4084
```

**Distance to the lowest polymorph of the same formula**: 0.33 eV/f.u.
**ΔE_f (raw)**: -0.14 eV per atom



Record 5
An optimized crystal structure of ThAlPt2. Source: the Alexandria database, functional PBE-GGA.

Geometry as CIF:
```
data_ThAlPt2
_space_group_name_H-M_alt 'C m c m'
_space_group_IT_number 63
_space_group_name_Hall '-C 2c 2'
_cell_length_a 6.590
_cell_length_b 9.789
_cell_length_c 5.425
_cell_angle_alpha 90.00
_cell_angle_beta 90.00
_cell_angle_gamma 90.00
loop_
_atom_site_label
_atom_site_fract_x
_atom_site_fract_y
_atom_site_fract_z
Th1 0.000 0.179 0.250
Al1 0.000 0.500 0.000
Pt1 0.208 0.093 0.750
```

**Energy of formation from the pure elements**: -96.2 kJ/mol of atoms



Record 6
An optimized crystal structure of BeAl2GeAs. Source: the Alexandria database, functional PBE-GGA.

Geometry as CIF:
```
data_BeAl2GeAs
_space_group_name_H-M_alt 'P 4/m m m'
_space_group_IT_number 123
_space_group_name_Hall '-P 4 2'
_cell_length_a 4.932
_cell_length_b 4.932
_cell_length_c 4.082
_cell_angle_alpha 90.00
_cell_angle_beta 90.00
_cell_angle_gamma 90.00
loop_
_atom_site_label
_atom_site_fract_x
_atom_site_fract_y
_atom_site_fract_z
Be1 0.000 0.000 0.000
Al1 0.000 0.500 0.500
Ge1 0.000 0.000 0.500
As1 0.500 0.500 0.000
```

**Energy of formation from the pure elements**: 54.5 kJ/mol of atoms



Record 7
An optimized crystal structure of Zn3HRh. Source: the Alexandria database, functional PBE-GGA.

Geometry as CIF:
```
data_Zn3HRh
_space_group_name_H-M_alt 'P m -3 m'
_space_group_IT_number 221
_space_group_name_Hall '-P 4 2 3'
_cell_length_a 4.818
_cell_length_b 4.818
_cell_length_c 4.818
_cell_angle_alpha 90.00
_cell_angle_beta 90.00
_cell_angle_gamma 90.00
loop_
_atom_site_label
_atom_site_fract_x
_atom_site_fract_y
_atom_site_fract_z
Zn1 0.000 0.000 0.500
H1 0.500 0.500 0.500
Rh1 0.000 0.000 0.000
```

**Distance to the lowest polymorph of the same formula**: 3.24 eV/f.u.



Record 8
An optimized crystal structure of VP2WS. Source: the Alexandria database, functional PBE-GGA.

Geometry as CIF:
```
data_VP2WS
_space_group_name_H-M_alt 'P 4/m m m'
_space_group_IT_number 123
_space_group_name_Hall '-P 4 2'
_cell_length_a 4.535
_cell_length_b 4.535
_cell_length_c 4.425
_cell_angle_alpha 90.00
_cell_angle_beta 90.00
_cell_angle_gamma 90.00
loop_
_atom_site_label
_atom_site_fract_x
_atom_site_fract_y
_atom_site_fract_z
V1 0.000 0.000 0.000
P1 0.000 0.500 0.000
W1 0.500 0.500 0.500
S1 0.000 0.000 0.500
```

**Distance to the lowest polymorph of the same formula**: 1.44 eV/f.u.
**ΔE_f (raw)**: 0.96 eV per atom